{
  "formula": "Cs3Tl4In",
  "functional": "GGA-PBE",
  "state": "optimized geometry",
  "e_form_ev_per_atom": -0.055,
  "dft_energy_ev_per_atom": -1.901,
  "sg": "C2",
  "n_ef_per_ev_atom": 0.357,
  "lattice": [[-4.7251, -5.3143, 0.6713], [5.7207, -5.0986, -0.0960], [-1.9436, 7.3330, 6.3706]],
  "species": ["In", "Cs", "Cs", "Cs", "Tl", "Tl", "Tl", "Tl"],
  "frac_coords": [[0.4616, 0.5000, 0.0000], [0.1453, 0.7765, 0.3348], [0.8104, 0.2235, 0.6652], [0.0722, 0.0000, 0.0000], [0.6947, 0.5138, 0.3814], [0.6517, 0.9693, 0.1498], [0.3133, 0.4862, 0.6186], [0.5019, 0.0307, 0.8502]]
}